The following is a DFT calculation (GGA-PBE) of crystalline LaFe2Ni at its relaxed geometry.

```
data_LaFe2Ni
_cell_length_a 3.8669
_cell_length_b 3.8669
_cell_length_c 4.3487
_cell_angle_alpha 90.00
_cell_angle_beta 90.00
_cell_angle_gamma 90.00
_symmetry_space_group_name_H-M 'P 4/m m m'
_symmetry_Int_Tables_number 123
_symmetry_space_group_name_Hall '-P 4 2'
loop_
_atom_site_label
_atom_site_fract_x
_atom_site_fract_y
_atom_site_fract_z
La1 0.0000 0.0000 0.0000
Fe1 0.0000 0.5000 0.5000
Ni1 0.5000 0.5000 0.0000
```

Summary:
Formation enthalpy at 0 K ... 0.34 eV/atom
DOS(E_F) ... 5.7 states/eV/cell

=====

The following is a DFT calculation (GGA-PBE) of crystalline LaFeNi2 at its relaxed geometry.

```
data_LaFeNi2
_cell_length_a 5.7416
_cell_length_b 5.8518
_cell_length_c 3.8079
_cell_angle_alpha 90.00
_cell_angle_beta 90.00
_cell_angle_gamma 90.00
_symmetry_space_group_name_H-M 'C m m m'
_symmetry_Int_Tables_number 65
_symmetry_space_group_name_Hall '-C 2 2'
loop_
_atom_site_label
_atom_site_fract_x
_atom_site_fract_y
_atom_site_fract_z
La1 0.0000 0.0000 0.0000
Fe1 0.0000 0.5000 0.0000
Ni1 0.2500 0.2500 0.5000
```

Summary:
Formation enthalpy at 0 K ... 0.17 eV/atom
DOS(E_F) ... 9.8 states/eV/cell

=====

The following is a DFT calculation (GGA-PBE) of crystalline LaFeNi at its relaxed geometry.

```
data_LaFeNi
_cell_length_a 6.2439
_cell_length_b 6.2439
_cell_length_c 6.2439
_cell_angle_alpha 90.00
_cell_angle_beta 90.00
_cell_angle_gamma 90.00
_symmetry_space_group_name_H-M 'F -4 3 m'
_symmetry_Int_Tables_number 216
_symmetry_space_group_name_Hall 'F -4 2 3'
loop_
_atom_site_label
_atom_site_fract_x
_atom_site_fract_y
_atom_site_fract_z
La1 0.0000 0.0000 0.0000
Fe1 0.2500 0.2500 0.2500
Ni1 0.2500 0.2500 0.7500
```

Summary:
Formation enthalpy at 0 K ... 0.92 eV/atom
DOS(E_F) ... 27.8 states/eV/cell

=====

The following is a DFT calculation (GGA-PBE) of crystalline LaFeNi at its relaxed geometry.

```
data_LaFeNi
_cell_length_a 3.2413
_cell_length_b 3.2413
_cell_length_c 10.6570
_cell_angle_alpha 90.00
_cell_angle_beta 90.00
_cell_angle_gamma 90.00
_symmetry_space_group_name_H-M 'I 4 m m'
_symmetry_Int_Tables_number 107
_symmetry_space_group_name_Hall 'I 4 -2'
loop_
_atom_site_label
_atom_site_fract_x
_atom_site_fract_y
_atom_site_fract_z
La1 0.0000 0.0000 0.0000
Fe1 0.0000 0.0000 0.2876
Ni1 0.0000 0.0000 0.7053
```

Summary:
Formation enthalpy at 0 K ... 0.15 eV/atom
DOS(E_F) ... 7.3 states/eV/cell

=====

The following is a DFT calculation (GGA-PBE) of crystalline La2FeNi at its relaxed geometry.

```
data_La2FeNi
_cell_length_a 4.0287
_cell_length_b 4.0424
_cell_length_c 11.5970
_cell_angle_alpha 90.00
_cell_angle_beta 90.00
_cell_angle_gamma 90.00
_symmetry_space_group_name_H-M 'A m m 2'
_symmetry_Int_Tables_number 38
loop_
_symmetry_equiv_pos_as_xyz
'x,y,z'
'-x,-y,z'
'-x,y,z'
'x,-y,z'
'x,y+1/2,z+1/2'
'-x,-y+1/2,z+1/2'
'-x,y+1/2,z+1/2'
'x,-y+1/2,z+1/2'
loop_
_atom_site_label
_atom_site_fract_x
_atom_site_fract_y
_atom_site_fract_z
La1 0.0000 0.0000 0.0000
La2 0.5000 0.0000 0.2789
Fe1 0.5000 0.0000 0.5777
Ni1 0.0000 0.0000 0.6958
```

Summary:
Polymorph energy (0 for the lowest one) ... 0.0000 eV/atom
Formation enthalpy at 0 K ... -0.05 eV/atom
DOS(E_F) ... 11.2 states/eV/cell

=====

The following is a DFT calculation (GGA-PBE) of crystalline LaFe2Ni at its relaxed geometry.

```
data_LaFe2Ni
_cell_length_a 3.1588
_cell_length_b 3.1588
_cell_length_c 6.7050
_cell_angle_alpha 90.00
_cell_angle_beta 90.00
_cell_angle_gamma 90.00
_symmetry_space_group_name_H-M 'P 4/m m m'
_symmetry_Int_Tables_number 123
_symmetry_space_group_name_Hall '-P 4 2'
loop_
_atom_site_label
_atom_site_fract_x
_atom_site_fract_y
_atom_site_fract_z
La1 0.0000 0.0000 0.0000
Fe1 0.5000 0.5000 0.3312
Ni1 0.0000 0.0000 0.5000
```

Summary:
Formation enthalpy at 0 K ... 0.27 eV/atom
DOS(E_F) ... 5.0 states/eV/cell

=====

The following is a DFT calculation (GGA-PBE) of crystalline LaFeNi at its relaxed geometry.

```
data_LaFeNi
_cell_length_a 4.9354
_cell_length_b 12.0251
_cell_length_c 15.7870
_cell_angle_alpha 90.00
_cell_angle_beta 90.00
_cell_angle_gamma 90.00
_symmetry_space_group_name_H-M 'F m m m'
_symmetry_Int_Tables_number 69
_symmetry_space_group_name_Hall '-F 2 2'
loop_
_atom_site_label
_atom_site_fract_x
_atom_site_fract_y
_atom_site_fract_z
La1 0.0000 0.1452 0.1225
Fe1 0.0000 0.0000 0.4238
Fe2 0.0000 0.1687 0.5000
Ni1 0.0000 0.1020 0.2943
```

Summary:
Formation enthalpy at 0 K ... 0.17 eV/atom
DOS(E_F) ... 46.2 states/eV/cell

=====

The following is a DFT calculation (GGA-PBE) of crystalline La2FeNi at its relaxed geometry.

```
data_La2FeNi
_cell_length_a 6.8602
_cell_length_b 3.8237
_cell_length_c 7.7076
_cell_angle_alpha 90.00
_cell_angle_beta 105.84
_cell_angle_gamma 90.00
_symmetry_space_group_name_H-M 'C 1 2/m 1'
_symmetry_Int_Tables_number 12
loop_
_symmetry_equiv_pos_as_xyz
'x,y,z'
'-x,-y,-z'
'-x,y,-z'
'x,-y,z'
'x+1/2,y+1/2,z'
'-x+1/2,-y+1/2,-z'
'-x+1/2,y+1/2,-z'
'x+1/2,-y+1/2,z'
loop_
_atom_site_label
_atom_site_fract_x
_atom_site_fract_y
_atom_site_fract_z
La1 0.2474 0.0000 0.2427
Fe1 0.0000 0.0000 0.5000
Ni1 0.0000 0.5000 0.0000
```

Summary:
Polymorph energy (0 for the lowest one) ... 0.2366 eV/atom
Formation enthalpy at 0 K ... 0.19 eV/atom
DOS(E_F) ... 10.5 states/eV/cell